# CaCePtPb (PBE, optimized geometry)
data_CaCePtPb
_space_group_name_H-M_alt 'P 1'
_space_group_IT_number 1
_space_group_name_Hall 'P 1'
_cell_length_a 5.2683
_cell_length_b 5.2683
_cell_length_c 5.2683
_cell_angle_alpha 60.00
_cell_angle_beta 60.00
_cell_angle_gamma 60.00
loop_
_atom_site_label
_atom_site_type_symbol
_atom_site_fract_x
_atom_site_fract_y
_atom_site_fract_z
Ce1 Ce 0.5000 0.5000 0.5000
Pt1 Pt 0.7500 0.7500 0.7500
Pb1 Pb 0.2500 0.2500 0.2500
Ca1 Ca 0.0000 0.0000 0.0000
# SG: F-43m, No. 216
# Formation energy from the elements (kJ per mole of atoms): -59.3
# Distance to the lowest polymorph of the same formula (meV/atom): 132
# Crystal system: cubic